Entry 1:
Entry from Alexandria via LeMat-Bulk: an optimized crystal structure of NbAlTeN2 (PBE).

The calculation puts the electronic total energy at -5.793 eV/atom. For the offset from the most stable computed form, the calculation gives 57.2 kJ per mole of atoms. The value obtained for the formation energy (no corrections) is 0.927 eV per atom. The value obtained for the magnetization is 0.0 μB per formula unit. The mass density is 5.67 g/cm3.

It has space group P4/mmm (No. 123), with a = 3.8517 Å, b = 3.8517 Å, c = 5.4357 Å, α = 90.00°, β = 90.00° and γ = 90.00°. The distinct sites, in fractional coordinates, are Nb at (0.0000, 0.0000, 0.0000), Al at (0.5000, 0.5000, 0.5000), Te at (0.5000, 0.5000, 0.0000) and N at (0.0000, 0.5000, 0.5000).

***

Entry 2:
Entry from Alexandria via LeMat-Bulk: an optimized crystal structure of Ti2NbAlN (PBE).

The calculation puts the electronic total energy at -8.398 eV/atom. The value obtained for the formation energy (no corrections) is -0.812 eV per atom. The value obtained for the magnetization is 0.0 μB per formula unit. The mass density is 5.24 g/cm3.

It has space group P4/mmm (No. 123), with a = 4.0494 Å, b = 4.0494 Å, c = 4.4351 Å, α = 90.00°, β = 90.00° and γ = 90.00°. The distinct sites, in fractional coordinates, are Ti at (0.0000, 0.5000, 0.0000), Nb at (0.0000, 0.0000, 0.5000), Al at (0.5000, 0.5000, 0.5000) and N at (0.0000, 0.0000, 0.0000).

***

Entry 3:
Entry from Alexandria via LeMat-Bulk: an optimized crystal structure of NbAlV2N (PBE).

The calculation puts the electronic total energy at -8.654 eV/atom. The value obtained for the formation energy (no corrections) is -0.579 eV per atom. The value obtained for the magnetization is 0.0 μB per formula unit. The mass density is 5.86 g/cm3.

It has space group P4/mmm (No. 123), with a = 3.9147 Å, b = 3.9147 Å, c = 4.3635 Å, α = 90.00°, β = 90.00° and γ = 90.00°. The distinct sites, in fractional coordinates, are Nb at (0.0000, 0.0000, 0.0000), Al at (0.5000, 0.5000, 0.0000), V at (0.0000, 0.5000, 0.5000) and N at (0.0000, 0.0000, 0.5000).

***

Entry 4:
Entry from Alexandria via LeMat-Bulk: an optimized crystal structure of Nb2AlVN (PBE).

The calculation puts the electronic total energy at -8.848 eV/atom. The value obtained for the formation energy (no corrections) is -0.583 eV per atom. The value obtained for the magnetization is 0.0 μB per formula unit. The mass density is 6.39 g/cm3.

It has space group P4/mmm (No. 123), with a = 4.3496 Å, b = 4.3496 Å, c = 3.8131 Å, α = 90.00°, β = 90.00° and γ = 90.00°. The distinct sites, in fractional coordinates, are Nb at (0.0000, 0.5000, 0.0000), Al at (0.0000, 0.0000, 0.5000), V at (0.5000, 0.5000, 0.5000) and N at (0.5000, 0.5000, 0.0000).